## CaFeAgF6 (PBE+U)

Data for a relaxed structure of CaFeAgF6.

Computed properties:
Fermi-level density of states (states/eV/f.u.): 0.00
Theoretical density (g/cm³): 3.83
Symmetry: P4_2nm
Calculated total energy (eV/atom): -5.046
Size of the total moment (μB per formula unit): 4.9

CIF file:
```
data_CaFeAgF6
_symmetry_space_group_name_H-M 'P 1'
_symmetry_Int_Tables_number 1
_symmetry_space_group_name_Hall 'P 1'
_cell_length_a 5.177
_cell_length_b 5.177
_cell_length_c 10.293
_cell_angle_alpha 90.00
_cell_angle_beta 90.00
_cell_angle_gamma 90.00
loop_
_atom_site_label
_atom_site_type_symbol
_atom_site_fract_x
_atom_site_fract_y
_atom_site_fract_z
F1 F 0.807 0.193 0.199
F2 F 0.307 0.307 0.699
Ag1 Ag 0.000 0.000 0.997
F3 F 0.732 0.732 0.320
F4 F 0.173 0.827 0.481
Fe1 Fe 0.000 0.000 0.333
Ca1 Ca 0.500 0.500 0.170
F5 F 0.768 0.232 0.820
F6 F 0.193 0.807 0.199
F7 F 0.673 0.673 0.981
F8 F 0.327 0.327 0.981
Fe2 Fe 0.500 0.500 0.833
F9 F 0.268 0.268 0.320
F10 F 0.693 0.693 0.699
Ag2 Ag 0.500 0.500 0.497
Ca2 Ca 0.000 0.000 0.670
F11 F 0.232 0.768 0.820
F12 F 0.827 0.173 0.481
```